# 1
Mg2In4HgPb2 | Alexandria | PBE | relaxed; energy = -2.427 eV/atom; calculated volume = 242.9 Å³ per cell; DFT formation energy = 0.02 eV/f.u.
1.0
-0.5847 1.6437 2.9013
-2.5491 -1.5226 -1.6262
4.3011 -20.5783 12.5249
In Mg Pb Hg
4 2 2 1
Cartesian
2.3955 -11.4610 6.9757
-0.9039 -1.0173 2.3693
2.5211 -17.4039 12.3429
3.2807 -15.6965 9.5536
4.2019 -20.1037 12.2360
1.5979 -12.9869 9.6545
0.6504 -8.4540 6.8956
-0.3496 -3.6692 3.9834
1.3857 -6.6299 4.0353

---

# 2
Sc2FePb | Alexandria | PBE | relaxed; energy = -6.041 eV/atom; calculated volume = 91.7 Å³ per cell; DFT formation energy = 0.67 eV/f.u.
1.0
1.9205 0.0000 9.5664
-0.9602 1.6632 9.5664
-0.9602 -1.6632 9.5664
Pb Fe Sc
1 1 2
Cartesian
0.0000 0.0000 0.0000
0.0000 0.0000 14.3496
0.0000 0.0000 3.1008
0.0000 0.0000 25.5983

---

# 3
NaTi4Tc2 | Alexandria | PBE | relaxed; energy = -6.602 eV/atom; calculated volume = 131.4 Å³ per cell; DFT formation energy = 7.42 eV/f.u.
1.0
-3.2581 1.9442 -2.5904
-0.0391 -3.6977 -2.7260
-6.0371 -3.4665 0.9177
Ti Tc Na
4 2 1
Cartesian
-0.0196 -1.8488 -1.3630
-1.6290 0.9721 -1.2952
-5.0917 -2.8125 -3.8542
-4.2426 -2.4075 -0.5445
-2.6770 -1.4836 -1.8202
-6.6573 -3.7364 -2.5785
0.0000 0.0000 0.0000

---

# 4
CaTbGdTh | Alexandria | PBE | relaxed; energy = -6.821 eV/atom; calculated volume = 135.4 Å³ per cell; DFT formation energy = 0.85 eV/f.u.
1.0
5.7643 0.0000 0.0000
2.8822 4.9920 0.0000
2.8822 1.6640 4.7065
Gd Ca Th Tb
1 1 1 1
Cartesian
0.0000 0.0000 0.0000
2.8822 1.6640 1.1766
8.6465 4.9920 3.5299
5.7643 3.3280 2.3533

---

# 5
Cr2SbAu | Alexandria | PBE | relaxed; energy = -6.234 eV/atom; calculated volume = 65.7 Å³ per cell; E_form (uncorrected) = 41.3 kJ/mol of atoms
1.0
5.0300 -0.0007 0.0000
1.9017 4.6567 0.0000
-3.4659 -2.3280 2.8052
Au Sb Cr
1 1 2
Cartesian
2.5150 -0.0003 1.4026
3.4659 2.3280 0.0000
0.9509 2.3283 1.4026
0.0000 0.0000 0.0000

---

# 6
LiIr2Au | Alexandria | PBE | relaxed; energy = -5.717 eV/atom; calculated volume = 60.5 Å³ per cell; polymorph energy (0 for the lowest one) = 62 meV/atom; DFT formation energy = 0.05 eV/f.u.
1.0
2.7280 0.0000 0.0000
0.0000 4.6071 0.0000
0.0000 0.0000 4.8117
Li Ir Au
1 2 1
Cartesian
1.3640 0.0000 2.4058
1.3640 2.3036 0.0000
0.0000 0.0000 0.0000
0.0000 2.3036 2.4058

---

# 7
Tm8Te2Ru | Alexandria | PBE | relaxed; energy = -5.109 eV/atom; calculated volume = 312.8 Å³ per cell; E_form (uncorrected) = -42.7 kJ/mol of atoms
1.0
-2.2842 5.7378 3.4392
0.5280 -2.5457 6.8877
5.8336 1.0824 4.3586
Tm Ru Te
8 1 2
Cartesian
2.9593 0.4577 6.8647
0.8724 2.9375 11.0355
3.2049 1.3370 3.6500
3.6801 4.8574 9.6971
4.1528 2.6658 12.5361
-0.0755 1.6087 2.1494
0.3972 -0.5829 4.9883
1.1180 3.8168 7.8207
0.0000 0.0000 0.0000
0.7879 2.4824 5.2141
3.2894 1.7921 9.4714

---

# 8
VCdBr2 | Alexandria | PBE | relaxed; energy = -3.813 eV/atom; calculated volume = 132.9 Å³ per cell; E_form (uncorrected) = -45.1 kJ/mol of atoms; polymorph energy (0 for the lowest one) = 0 meV/atom
1.0
2.1816 0.0000 10.7439
-1.0908 1.8893 10.7439
-1.0908 -1.8893 10.7439
V Br Cd
1 2 1
Cartesian
0.0000 0.0000 16.1158
0.0000 0.0000 3.8970
0.0000 0.0000 28.3346
0.0000 0.0000 0.0000

---

# 9
NaEr2PuS4 | Alexandria | PBE | relaxed; energy = -6.999 eV/atom; calculated volume = 172.5 Å³ per cell; E_form (uncorrected) = -177.3 kJ/mol of atoms
1.0
3.9140 0.0000 0.0000
0.0000 6.8631 -0.1533
0.0000 2.3959 6.3690
Na Er Pu S
1 2 1 4
Cartesian
0.0000 4.6294 3.1078
0.0000 2.3959 6.3689
1.9570 1.1979 3.1845
1.9570 3.4315 -0.0767
1.9570 3.4306 4.7717
1.9570 5.8283 1.4439
3.9140 2.2596 1.5694
0.0000 6.9993 4.6462

---

# 10
TbPm2Tm5In | Alexandria | PBE | relaxed; energy = -4.368 eV/atom; calculated volume = 557.6 Å³ per cell; DFT formation energy = -0.08 eV/f.u.
1.0
-3.1174 -3.1836 -2.8729
9.1962 -0.0781 -5.0004
3.0361 -8.1264 5.7107
Tm Pm Tb In
10 4 2 2
Cartesian
6.5438 -6.6952 0.3186
5.3466 -3.4882 -1.9361
7.4792 -7.3611 -4.8502
1.7513 -6.1089 -0.0225
9.9383 -7.8315 -2.1056
5.8961 -1.3513 -4.9004
-0.7733 -3.6907 0.0372
4.1374 -8.8877 0.4676
0.1680 -0.0986 -0.0730
2.3006 -3.9688 -2.9901
4.9695 -4.6670 -5.1124
2.6798 -2.7935 0.1877
3.9682 -6.2468 2.6164
6.7133 -9.3393 -1.8270
4.4140 -6.6898 -2.2681
3.2323 -0.7675 -2.6568
-0.0668 -1.9785 -2.6268
7.7129 -5.4782 -2.2986

---

# 11
ZrTaTl | Alexandria | PBE | relaxed; energy = -6.974 eV/atom; calculated volume = 144.5 Å³ per cell; polymorph energy (0 for the lowest one) = 425 meV/atom; DFT formation energy = 1.84 eV/f.u.
1.0
5.6762 0.0000 0.0000
2.8381 3.7508 0.0000
2.8381 0.0000 6.7884
Ta Tl Zr
2 2 2
Cartesian
5.6762 1.2409 0.0000
2.8381 2.5099 0.0000
7.0953 1.8754 3.3942
4.2572 1.8754 3.3942
5.6762 0.0000 5.4054
2.8381 0.0000 1.3829

---

# 12
SiMo2Rh | Alexandria | PBE | relaxed; energy = -8.864 eV/atom; calculated volume = 58.8 Å³ per cell; E_form (uncorrected) = -24.6 kJ/mol of atoms
1.0
-0.3367 1.1689 3.9656
-2.4257 -1.3233 0.1841
1.6062 -4.7077 1.5241
Si Rh Mo
1 1 2
Cartesian
-0.3635 -3.7217 3.2355
-0.7866 -3.2760 0.8989
-0.3733 -0.9554 2.4193
1.5637 -4.6322 1.4982